Run w
DFT (PBE) results for crystalline TbPuPd at its relaxed geometry.

Lattice parameters (Å, degrees): 6.0162 3.4836 6.5902 90.00 97.54 90.00
Element x y z (fractional)
Tb: 0.0491 0.2500 0.2548
Tb: 0.9509 0.7500 0.7452
Pu: 0.4767 0.2500 0.8831
Pu: 0.5233 0.7500 0.1169
Pd: 0.3264 0.7500 0.5193
Pd: 0.6736 0.2500 0.4807

Calculated values
As for the magnetic moment: 0.22 μB/f.u.



Run x
DFT (PBE) results for crystalline TbPuPd at its relaxed geometry.

Lattice parameters (Å, degrees): 6.4741 6.4741 6.4741 148.22 148.22 45.57
Element x y z (fractional)
Tb: 0.0000 0.0000 0.0000
Pu: 0.7148 0.7148 0.0000
Pd: 0.3674 0.3674 0.0000

Calculated values
As for the magnetic moment: 6.49 μB/f.u.



Most stable to least stable, the ends of the list are run x and run w.



Run w
DFT (PBE) results for crystalline PuTePd4 at its relaxed geometry.

Lattice parameters (Å, degrees): 5.4330 5.4330 5.4330 60.00 60.00 60.00
Element x y z (fractional)
Pu: 0.0000 0.0000 0.0000
Te: 0.7500 0.7500 0.7500
Pd: 0.3741 0.3741 0.3741
Pd: 0.3741 0.3741 0.8776
Pd: 0.3741 0.8776 0.3741
Pd: 0.8776 0.3741 0.3741

Calculated values
As for the magnetic moment: 4.49 μB/f.u.



Run x
DFT (PBE) results for crystalline PuTePd4 at its relaxed geometry.

Lattice parameters (Å, degrees): 7.6400 4.2221 7.2579 90.00 90.00 90.00
Element x y z (fractional)
Pu: 0.2500 0.0000 0.1594
Pu: 0.7500 0.0000 0.8406
Te: 0.2500 0.0000 0.7440
Te: 0.7500 0.0000 0.2560
Pd: 0.0000 0.0000 0.5000
Pd: 0.0313 0.5000 0.8077
Pd: 0.2500 0.5000 0.4485
Pd: 0.4687 0.5000 0.8077
Pd: 0.5000 0.0000 0.5000
Pd: 0.5313 0.5000 0.1923
Pd: 0.7500 0.5000 0.5515
Pd: 0.9687 0.5000 0.1923

Calculated values
As for the magnetic moment: 5.27 μB/f.u.



Most stable to least stable, the ends of the list are run w and run x.



Run w
DFT (PBE) results for crystalline PuTe2Pd2 at its relaxed geometry.

Lattice parameters (Å, degrees): 9.4223 4.3751 11.5656 90.00 90.00 90.00
Element x y z (fractional)
Pu: 0.1905 0.2500 0.1802
Pu: 0.3095 0.7500 0.6802
Pu: 0.6905 0.2500 0.3198
Pu: 0.8095 0.7500 0.8198
Te: 0.0382 0.2500 0.7000
Te: 0.2100 0.7500 0.9568
Te: 0.2900 0.2500 0.4568
Te: 0.4618 0.7500 0.2000
Te: 0.5382 0.2500 0.8000
Te: 0.7100 0.7500 0.5432
Te: 0.7900 0.2500 0.0432
Te: 0.9618 0.7500 0.3000
Pd: 0.0020 0.2500 0.4230
Pd: 0.0490 0.2500 0.9330
Pd: 0.4510 0.7500 0.4330
Pd: 0.4980 0.7500 0.9230
Pd: 0.5020 0.2500 0.0770
Pd: 0.5490 0.2500 0.5670
Pd: 0.9510 0.7500 0.0670
Pd: 0.9980 0.7500 0.5770

Calculated values
As for the magnetic moment: 5.17 μB/f.u.



Run x
DFT (PBE) results for crystalline PuTe2Pd2 at its relaxed geometry.

Lattice parameters (Å, degrees): 6.9918 6.9918 6.5734 113.39 113.39 101.71
Element x y z (fractional)
Pu: 0.1391 0.8609 0.7500
Pu: 0.8609 0.1391 0.2500
Te: 0.1462 0.8538 0.2500
Te: 0.4285 0.5715 0.7500
Te: 0.5715 0.4285 0.2500
Te: 0.8538 0.1462 0.7500
Pd: 0.1913 0.4792 0.2603
Pd: 0.4792 0.1913 0.7603
Pd: 0.5208 0.8087 0.2397
Pd: 0.8087 0.5208 0.7397

Calculated values
As for the magnetic moment: 5.12 μB/f.u.



Most stable to least stable, the ends of the list are run w and run x.



Run w
DFT (PBE) results for crystalline Pu2TePd at its relaxed geometry.

Lattice parameters (Å, degrees): 3.6738 3.6738 7.2592 90.00 90.00 90.00
Element x y z (fractional)
Pu: 0.0000 0.0000 0.2310
Pu: 0.0000 0.0000 0.7690
Te: 0.5000 0.5000 0.5000
Pd: 0.5000 0.5000 0.0000

Calculated values
As for the magnetic moment: 11.49 μB/f.u.



Run x
DFT (PBE) results for crystalline Pu2TePd at its relaxed geometry.

Lattice parameters (Å, degrees): 5.1807 5.1807 5.1807 60.00 60.00 60.00
Element x y z (fractional)
Pu: 0.2500 0.2500 0.2500
Pu: 0.7500 0.7500 0.7500
Te: 0.0000 0.0000 0.0000
Pd: 0.5000 0.5000 0.5000

Calculated values
As for the magnetic moment: 12.00 μB/f.u.



Most stable to least stable, the ends of the list are run w and run x.